[1]
# BaAc5Zn4 GGA-PBE relaxed
data_BaAc5Zn4
_chemical_formula_sum 'Ba1 Ac5 Zn4'
_space_group_name_H-M_alt 'P 4/m m m'
_space_group_IT_number 123
_space_group_name_Hall '-P 4 2'
_cell_length_a 3.947
_cell_length_b 3.947
_cell_length_c 21.923
_cell_angle_alpha 90.00
_cell_angle_beta 90.00
_cell_angle_gamma 90.00
loop_
_atom_site_label
_atom_site_type_symbol
_atom_site_fract_x
_atom_site_fract_y
_atom_site_fract_z
_atom_site_occupancy
Ba1 Ba 0.000 0.000 0.000 1
Ac1 Ac 0.500 0.500 0.150 1
Ac2 Ac 0.500 0.500 0.323 1
Ac3 Ac 0.500 0.500 0.500 1
Zn1 Zn 0.000 0.000 0.235 1
Zn2 Zn 0.000 0.000 0.412 1
# - formation energy (meV/atom) = -170
# - calculated volume (A^3/atom) = 34.16

***

[2]
# K3Nd3GaS8 GGA-PBE relaxed
data_K3Nd3GaS8
_chemical_formula_sum 'K9 Nd9 Ga3 S24'
_space_group_name_H-M_alt 'R -3 m'
_space_group_IT_number 166
_space_group_name_Hall '-R 3 2"'
_cell_length_a 8.1596
_cell_length_b 8.1596
_cell_length_c 22.5672
_cell_angle_alpha 90.00
_cell_angle_beta 90.00
_cell_angle_gamma 120.00
loop_
_atom_site_label
_atom_site_type_symbol
_atom_site_fract_x
_atom_site_fract_y
_atom_site_fract_z
_atom_site_occupancy
K1 K 0.0000 0.5000 0.0000 1
Nd1 Nd 0.0000 0.5000 0.5000 1
Ga1 Ga 0.0000 0.0000 0.5000 1
S1 S 0.0000 0.0000 0.2363 1
S2 S 0.0318 0.5159 0.2300 1
# - calculated volume (A^3/atom) = 28.92
# - electronic total energy (eV for the cell shown) = -225.49